Record 1
Material: ThAlCu2
Method: DFT, SCAN
State: single point on PBEsol structure

abc: 6.5953 6.5953 6.5953
angles: 90.00 90.00 90.00
With the nearest neighbours (Å) after each atom.
Space group Fm-3m (No. 225)
One atom of each set of equivalent atoms:
Th1 0.0000 0.0000 0.0000  8 Cu 2.86
Al1 0.0000 0.0000 0.5000  8 Cu 2.86
Cu1 0.2500 0.2500 0.2500  4 Th 2.86, 4 Al 2.86

## Properties
Volume, Å³/f.u.: 72
Formation enthalpy at 0 K, eV/f.u.: -1.01

Record 2
Material: TiAl2Cu2
Method: DFT, SCAN
State: single point on PBEsol structure

abc: 7.1923 7.1923 2.6617
angles: 90.00 90.00 90.00
With the nearest neighbours (Å) after each atom.
Space group P4/mbm (No. 127)
One atom of each set of equivalent atoms:
Ti1 0.0000 0.0000 0.0000  2 Ti 2.66, 4 Cu 2.85, 8 Al 2.98
Al1 0.1729 0.3271 0.5000  6 Cu 2.46-2.54, 2 Al 2.66
Cu1 0.1239 0.6239 0.0000  6 Al 2.46-2.54, 3 Cu 2.52-2.66

## Properties
Volume, Å³/f.u.: 69
Formation enthalpy at 0 K, eV/f.u.: -1.54

Record 3
Material: TiAlCu3
Method: DFT, SCAN
State: single point on PBEsol structure

abc: 4.3044 4.3044 4.3044
angles: 90.00 90.00 90.00
With the nearest neighbours (Å) after each atom.
Space group Pm-3m (No. 221)
One atom of each set of equivalent atoms:
Ti1 0.0000 0.0000 0.0000  12 Cu 3.04
Al1 0.5000 0.5000 0.5000  6 Cu 2.15
Cu1 0.0000 0.5000 0.5000  2 Al 2.15

## Properties
Volume, Å³/f.u.: 80
Formation enthalpy at 0 K, eV/f.u.: 2.94

Record 4
Material: Ti2AlCu2
Method: DFT, SCAN
State: single point on PBEsol structure

abc: 6.7054 6.7054 3.1866
angles: 90.00 90.00 90.00
With the nearest neighbours (Å) after each atom.
Space group P4/mbm (No. 127)
One atom of each set of equivalent atoms:
Ti1 0.1717 0.3283 0.0000  6 Cu 2.49-2.57
Al1 0.0000 0.0000 0.5000  4 Cu 2.64, 8 Ti 2.95
Cu1 0.1265 0.6265 0.5000  1 Cu 2.40, 6 Ti 2.49-2.57, 2 Al 2.64

## Properties
Volume, Å³/f.u.: 72
Formation enthalpy at 0 K, eV/f.u.: -1.44

Record 5
Material: TiAlCu2
Method: DFT, SCAN
State: single point on PBEsol structure

abc: 2.8363 2.8363 6.6216
angles: 90.00 90.00 90.00
With the nearest neighbours (Å) after each atom.
Space group P4/mmm (No. 123)
One atom of each set of equivalent atoms:
Ti1 0.0000 0.0000 0.0000  8 Cu 2.67, 4 Ti 2.84
Al1 0.0000 0.0000 0.5000  8 Cu 2.53
Cu1 0.5000 0.5000 0.2666  4 Al 2.53, 4 Ti 2.67

## Properties
Volume, Å³/f.u.: 53
Formation enthalpy at 0 K, eV/f.u.: -1.24

Record 6
Material: Al2TlCu
Method: DFT, SCAN
State: single point on PBEsol structure

abc: 4.1182 4.1182 8.2375
angles: 90.00 90.00 90.00
With the nearest neighbours (Å) after each atom.
Space group I-4m2 (No. 119)
One atom of each set of equivalent atoms:
Al1 0.0000 0.0000 0.0000  4 Cu 2.91, 4 Tl 2.91, 4 Al 2.91
Al2 0.0000 0.5000 0.2500  4 Tl 2.91, 4 Al 2.91, 4 Cu 2.91
Tl1 0.0000 0.5000 0.7500  8 Al 2.91, 4 Cu 2.91
Cu1 0.0000 0.0000 0.5000  8 Al 2.91, 4 Tl 2.91

## Properties
Volume, Å³/f.u.: 70
Offset from the most stable computed form, meV/atom: 148
Formation enthalpy at 0 K, eV/f.u.: 1.07